Below is an optimized crystal structure of La5Tb4Sm3, with properties calculated at the PBE level.

**Space group**: C2/m
**Formation enthalpy at 0 K**: 0.2238 eV per atom

Lattice parameters (Å, degrees): 5.860 9.713 9.695 113.03 72.41 72.44
Sites, in units of the cell vectors:
Tb 0.057 0.143 0.743
Tb 0.943 0.857 0.257
Tb 0.170 0.799 0.862
Tb 0.830 0.201 0.138
La 0.500 0.500 0.500
La 0.320 0.072 0.287
La 0.268 0.396 0.068
La 0.732 0.604 0.932
La 0.680 0.928 0.713
Sm 0.000 0.500 0.500
Sm 0.536 0.280 0.647
Sm 0.464 0.720 0.353



Below is an optimized crystal structure of PmSm10Sc4, with properties calculated at the PBE level.

**Space group**: I4/m
**Formation enthalpy at 0 K**: 0.5473 eV per atom

Lattice parameters (Å, degrees): 6.859 9.290 9.290 82.17 68.34 68.34
Each line ends with the local moment (μB).
Sites, in units of the cell vectors:
Sc 0.569 0.110 0.752  0.00
Sc 0.321 0.248 0.110  0.00
Sc 0.679 0.752 0.890  0.00
Sc 0.431 0.890 0.248  0.00
Sm 0.750 0.500 0.500  -0.02
Sm 0.119 0.399 0.844  0.02
Sm 0.963 0.156 0.399  0.02
Sm 0.881 0.601 0.156  0.02
Sm 0.250 0.500 0.500  -0.02
Sm 0.639 0.399 0.844  0.02
Sm 0.518 0.844 0.601  0.02
Sm 0.482 0.156 0.399  0.02
Sm 0.361 0.601 0.156  0.02
Sm 0.037 0.844 0.601  0.02
Pm 0.000 0.000 0.000  0.21



Below is an optimized crystal structure of TlInAg2S4, with properties calculated at the PBE level.

**Space group**: I-4
**Formation energy without anion corrections**: -27.3 kJ/mol of atoms

Lattice parameters (Å, degrees): 5.955 5.955 7.185 114.48 114.48 89.99
Sites, in units of the cell vectors:
S 0.370 0.862 0.228
S 0.610 0.615 0.716
S 0.857 0.366 0.228
S 0.106 0.101 0.716
Ag 0.236 0.236 0.472
Ag 0.486 0.986 0.972
Tl 0.986 0.486 0.972
In 0.736 0.736 0.472



Below is an optimized crystal structure of CdHRh3, with properties calculated at the PBE level.

**Energy above the most stable polymorph in this dataset**: 29 meV/atom
**Space group**: P2_1/m

Lattice parameters (Å, degrees): 4.954 5.612 4.949 90.00 110.86 90.00
Sites, in units of the cell vectors:
Rh 0.750 0.500 0.250
Rh 0.750 0.000 0.250
Rh 0.762 0.250 0.739
Rh 0.238 0.750 0.261
Rh 0.250 0.500 0.750
Rh 0.250 0.000 0.750
Cd 0.756 0.750 0.743
Cd 0.244 0.250 0.257
H 0.466 0.750 0.046
H 0.534 0.250 0.954



What did the third record say?
Below is an optimized crystal structure of TlInAg2S4, with properties calculated at the PBE level.

**Space group**: I-4
**Formation energy without anion corrections**: -27.3 kJ/mol of atoms

Lattice parameters (Å, degrees): 5.955 5.955 7.185 114.48 114.48 89.99
Sites, in units of the cell vectors:
S 0.370 0.862 0.228
S 0.610 0.615 0.716
S 0.857 0.366 0.228
S 0.106 0.101 0.716
Ag 0.236 0.236 0.472
Ag 0.486 0.986 0.972
Tl 0.986 0.486 0.972
In 0.736 0.736 0.472